Sm4SbH, relaxed, DFT PBE; uncorrected energy = -4.77 eV/atom; volume = 316 Å³/cell; magnetic moment = 0.0 μB per formula unit
1.0
-3.896 4.796 0.322
-5.315 -4.460 2.120
5.448 0.040 5.885
H Sm Sb
2 8 2
Cartesian
-1.881 0.188 4.164 H
2.724 0.020 2.943 H
2.949 1.325 4.908 Sm
-1.909 2.823 4.831 Sm
0.114 0.632 2.493 Sm
-3.331 0.390 2.299 Sm
-1.854 -2.448 3.496 Sm
-6.711 -0.950 3.419 Sm
-0.432 -0.015 6.028 Sm
-3.876 -0.256 5.834 Sm
-4.712 3.050 0.810 Sb
-4.498 -2.715 1.632 Sb

TmFeSi3Tc, relaxed, DFT PBE; E_form (uncorrected) = -0.306 eV per atom; uncorrected energy = -6.90 eV/atom; volume = 212 Å³/cell; magnetic moment = 0.0 μB per formula unit
1.0
5.398 0.000 0.000
0.000 7.482 0.000
0.000 -3.741 5.245
Si Fe Tm Tc
6 2 2 2
Cartesian
0.000 5.677 0.000 Si
4.049 3.741 2.825 Si
0.000 1.805 0.000 Si
2.699 1.805 0.000 Si
2.699 5.677 0.000 Si
1.350 0.000 2.420 Si
1.350 0.000 0.338 Fe
4.049 3.741 4.907 Fe
1.350 3.741 2.634 Tm
4.049 0.000 2.611 Tm
4.049 3.741 0.592 Tc
1.350 0.000 4.653 Tc

CaTmCo, relaxed, DFT PBE; uncorrected energy = -4.52 eV/atom; volume = 72 Å³/cell; magnetic moment = 0.2 μB per formula unit
1.0
3.365 0.000 0.000
0.000 3.365 0.000
-1.682 -1.682 6.397
Ca Tm Co
1 1 1
Cartesian
0.000 0.000 0.425 Ca
0.000 0.000 3.679 Tm
1.682 1.682 2.293 Co

Mg2MnTl, relaxed, DFT PBE; relative energy among the computed polymorphs = 0.080 eV/atom; uncorrected energy = -3.45 eV/atom; volume = 83 Å³/cell; magnetic moment = 3.8 μB per formula unit
1.0
0.000 3.464 3.464
3.464 0.000 3.464
3.464 3.464 0.000
Mg Mn Tl
2 1 1
Cartesian
5.196 5.196 5.196 Mg
1.732 1.732 1.732 Mg
0.000 0.000 0.000 Mn
3.464 3.464 3.464 Tl

P2IrRu, relaxed, DFT PBE; relative energy among the computed polymorphs = 0.117 eV/atom; uncorrected energy = -7.59 eV/atom; volume = 143 Å³/cell; magnetic moment = 0.0 μB per formula unit
1.0
5.241 0.000 0.000
0.000 5.241 0.000
2.621 2.621 5.220
P Ru Ir
4 2 2
Cartesian
6.552 6.540 3.915 P
3.931 3.942 3.915 P
1.321 3.931 1.305 P
3.920 1.310 1.305 P
2.621 2.621 0.000 Ru
2.621 5.241 2.610 Ru
0.000 0.000 0.000 Ir
5.241 2.621 2.610 Ir

Pr2TmHg5, relaxed, DFT PBE; uncorrected energy = -2.34 eV/atom; volume = 208 Å³/cell; magnetic moment = 0.3 μB per formula unit
1.0
-3.871 -0.073 3.497
1.857 -4.463 1.962
5.347 6.222 2.156
Hg Pr Tm
5 2 1
Cartesian
1.404 3.006 5.508 Hg
1.929 -1.320 2.107 Hg
-1.007 -2.268 2.730 Hg
-0.935 0.875 2.875 Hg
4.268 0.811 4.741 Hg
2.279 2.077 2.566 Pr
1.054 -0.390 5.050 Pr
0.000 0.000 0.000 Tm

Among the records above, which one has the highest magnetic moment?
Mg2MnTl

What is the formula in the sixth record?
Pr2TmHg5

Which formula does entry 5 have?
P2IrRu

Among the records above, which one has the highest volume?
Sm4SbH